## PmDyPb2 (PBE)

Data for a relaxed structure of PmDyPb2.

Cell lengths 3.575, 3.575, 9.048 Å; angles 90.00, 90.00, 90.00 degrees
Fractional positions:
Pb 0.000 0.000 0.744
Pb 0.000 0.000 0.256
Pm 0.500 0.500 0.000
Dy 0.500 0.500 0.500

## Properties
The value obtained for the energy of formation from the pure elements is -469 meV/atom.

=====

## Pm3Dy2Pb2 (PBE)

Data for a relaxed structure of Pm3Dy2Pb2.

Cell lengths 4.646, 6.277, 8.559 Å; angles 105.31, 90.00, 111.72 degrees
Fractional positions:
Pm 0.500 0.000 0.000
Pm 0.632 0.263 0.438
Pm 0.368 0.737 0.562
Dy 0.877 0.753 0.235
Dy 0.123 0.247 0.765
Pb 0.819 0.638 0.818
Pb 0.181 0.362 0.182

## Properties
The value obtained for the energy of formation from the pure elements is -309 meV/atom.

=====

## PmDyPb6 (PBE)

Data for a relaxed structure of PmDyPb6.

Cell lengths 4.898, 4.898, 9.800 Å; angles 90.00, 90.00, 90.00 degrees
Fractional positions:
Pm 0.000 0.000 0.000
Dy 0.000 0.000 0.500
Pb 0.500 0.500 0.000
Pb 0.500 0.500 0.500
Pb 0.500 0.000 0.253
Pb 0.500 0.000 0.747
Pb 0.000 0.500 0.253
Pb 0.000 0.500 0.747

## Properties
The value obtained for the energy of formation from the pure elements is -318 meV/atom.

=====

## Pm2DyPb2 (PBE)

Data for a relaxed structure of Pm2DyPb2.

Cell lengths 4.535, 8.281, 8.281 Å; angles 90.00, 90.00, 90.00 degrees
Fractional positions:
Pm 0.500 0.168 0.668
Pm 0.500 0.668 0.832
Pm 0.500 0.832 0.332
Pm 0.500 0.332 0.168
Dy 0.000 0.000 0.000
Dy 0.000 0.500 0.500
Pb 0.000 0.363 0.863
Pb 0.000 0.863 0.637
Pb 0.000 0.637 0.137
Pb 0.000 0.137 0.363

## Properties
The value obtained for the energy of formation from the pure elements is -516 meV/atom.

=====

## Pm12Dy7Pb (PBE)

Data for a relaxed structure of Pm12Dy7Pb.

Cell lengths 8.738, 8.738, 8.738 Å; angles 89.17, 89.17, 89.17 degrees
Fractional positions:
Pm 0.870 0.266 0.737
Pm 0.734 0.263 0.130
Pm 0.618 0.143 0.497
Pm 0.857 0.503 0.382
Pm 0.263 0.130 0.734
Pm 0.503 0.382 0.857
Pm 0.497 0.618 0.143
Pm 0.737 0.870 0.266
Pm 0.143 0.497 0.618
Pm 0.382 0.857 0.503
Pm 0.266 0.737 0.870
Pm 0.130 0.734 0.263
Dy 0.853 0.619 0.939
Dy 0.381 0.061 0.147
Dy 0.061 0.147 0.381
Dy 0.500 0.500 0.500
Dy 0.939 0.853 0.619
Dy 0.619 0.939 0.853
Dy 0.147 0.381 0.061
Pb 0.000 0.000 0.000

## Properties
The value obtained for the energy of formation from the pure elements is 133 meV/atom.

=====

## Pm4DyPb2 (PBE)

Data for a relaxed structure of Pm4DyPb2.

Cell lengths 5.994, 5.994, 7.695 Å; angles 112.92, 112.92, 90.00 degrees
Fractional positions:
Pm 0.750 0.250 0.500
Pm 0.250 0.750 0.500
Pm 0.500 0.000 0.000
Pm 0.000 0.500 0.000
Dy 0.000 0.000 0.000
Pb 0.631 0.631 0.263
Pb 0.369 0.369 0.737

## Properties
The value obtained for the energy of formation from the pure elements is 50 meV/atom.